A relaxed Ti4IrPd crystal. Source: Alexandria via LeMat-Bulk, functional PBE.

DOS(E_F) in states/eV per cell: 3.9
Energy of formation from the pure elements in meV per atom: -571
Mass density in Mg/m³: 8.6
Volume in A^3/atom: 15.77

Cell: 3.0802 3.0802 9.9717 Å, 90.00 90.00 90.00°
Last column: nearest neighbours and their distance in Å.
Element x y z (fractional)
Ti (0.0000, 0.0000, 0.1600)  4 Ir 2.70, 4 Ti 2.77
Ti (0.0000, 0.0000, 0.8400)  4 Ir 2.70, 4 Ti 2.77
Ti (0.5000, 0.5000, 0.3322)  4 Pd 2.75, 4 Ti 2.77
Ti (0.5000, 0.5000, 0.6678)  4 Pd 2.75, 4 Ti 2.77
Ir (0.5000, 0.5000, 0.0000)  8 Ti 2.70
Pd (0.0000, 0.0000, 0.5000)  8 Ti 2.75